A plane-wave DFT calculation with PBE was carried out for an optimized crystal structure of HfCo2NiHg.

The structure in POSCAR format:
```
HfCo2NiHg
1.0
-2.831 -0.102 -3.384
-0.146 -4.591 0.261
-3.383 0.267 2.821
Ni Hf Hg Co
1 1 1 2
direct
0.000 0.000 0.000 Ni
0.000 0.500 0.000 Hf
0.500 0.500 0.500 Hg
0.000 0.000 0.500 Co
0.500 0.000 0.000 Co
```

- DOS(E_F) (states/eV/cell) = 6.4
- DFT formation energy (kJ/mol of atoms) = 64.3



A plane-wave DFT calculation with PBE was carried out for an optimized crystal structure of LiZrAlRe.

The structure in POSCAR format:
```
LiZrAlRe
1.0
-0.178 -0.656 -4.475
1.366 -3.937 -1.766
-3.033 -2.870 -1.748
Re Al Zr Li
1 1 1 1
direct
0.250 0.250 0.250 Re
0.500 0.500 0.500 Al
0.000 0.000 0.000 Zr
0.750 0.750 0.750 Li
```

- DOS(E_F) (states/eV/cell) = 5.5
- DFT formation energy (kJ/mol of atoms) = -7.8